A relaxed KTlRh crystal, computed with GGA-PBEsol.

Space-group type = F-43m
Energy relative to the elements = 710 meV per atom
Theoretical density = 7.23 g/cm³
Electronic total energy = -3.257 eV/atom

Cell: 4.828 4.828 4.828 Å, 60.00 60.00 60.00°
Positions (direct):
K: 0.000 0.000 0.000
Rh: 0.500 0.500 0.500
Tl: 0.250 0.250 0.250